1.
The following is a DFT calculation (PBE) of RbLa3Sm2Te6 after structural relaxation.

The structure in CIF format:
```
data_RbLa3Sm2Te6
_symmetry_space_group_name_H-M 'C 1 2/m 1'
_symmetry_Int_Tables_number 12
_symmetry_space_group_name_Hall '-C 2y'
_cell_length_a 20.019
_cell_length_b 4.564
_cell_length_c 9.305
_cell_angle_alpha 90.00
_cell_angle_beta 102.82
_cell_angle_gamma 90.00
loop_
_atom_site_label
_atom_site_fract_x
_atom_site_fract_y
_atom_site_fract_z
Rb1 0.000 0.000 0.000
La1 0.000 0.000 0.500
La2 0.161 0.500 0.825
Sm1 0.171 0.500 0.347
Te1 0.007 0.500 0.267
Te2 0.167 0.000 0.581
Te3 0.174 0.000 0.095
```

Calculated values
* uncorrected formation energy: -1.4412 eV per atom

=====

2.
The following is a DFT calculation (PBE) of Al2CdAs after structural relaxation.

The structure in CIF format:
```
data_Al2CdAs
_symmetry_space_group_name_H-M 'P 4 m m'
_symmetry_Int_Tables_number 99
_symmetry_space_group_name_Hall 'P 4 -2'
_cell_length_a 3.094
_cell_length_b 3.094
_cell_length_c 8.130
_cell_angle_alpha 90.00
_cell_angle_beta 90.00
_cell_angle_gamma 90.00
loop_
_atom_site_label
_atom_site_fract_x
_atom_site_fract_y
_atom_site_fract_z
Al1 0.000 0.000 0.000
Al2 0.500 0.500 0.229
Cd1 0.500 0.500 0.734
As1 0.000 0.000 0.435
```

Calculated values
* ΔH_f (0 K): 0.13 eV/atom

=====

3.
The following is a DFT calculation (PBE) of FeReTcOs2 after structural relaxation.

The structure in CIF format:
```
data_FeReTcOs2
_symmetry_space_group_name_H-M 'P 4/m m m'
_symmetry_Int_Tables_number 123
_symmetry_space_group_name_Hall '-P 4 2'
_cell_length_a 4.350
_cell_length_b 4.350
_cell_length_c 4.349
_cell_angle_alpha 90.00
_cell_angle_beta 90.00
_cell_angle_gamma 90.00
loop_
_atom_site_label
_atom_site_fract_x
_atom_site_fract_y
_atom_site_fract_z
Fe1 0.000 0.000 0.000
Re1 0.000 0.000 0.500
Tc1 0.500 0.500 0.500
Os1 0.000 0.500 0.000
```

Calculated values
* ΔH_f (0 K): 1.76 eV/atom

=====

4.
The following is a DFT calculation (PBE) of Ta2HgMo after structural relaxation.

The structure in CIF format:
```
data_Ta2HgMo
_symmetry_space_group_name_H-M 'I m m 2'
_symmetry_Int_Tables_number 44
_symmetry_space_group_name_Hall 'I 2 -2'
_cell_length_a 3.453
_cell_length_b 4.601
_cell_length_c 9.131
_cell_angle_alpha 90.00
_cell_angle_beta 90.00
_cell_angle_gamma 90.00
loop_
_atom_site_label
_atom_site_fract_x
_atom_site_fract_y
_atom_site_fract_z
Ta1 0.000 0.000 0.000
Ta2 0.000 0.500 0.250
Hg1 0.000 0.000 0.487
Mo1 0.000 0.500 0.728
```

Calculated values
* ΔH_f (0 K): 0.28 eV/atom

=====

| no. | size of the total moment (μB per formula unit) |
| --- | --- |
| 1 | 0.00 |
| 2 | 0.00 |
| 3 | 0.02 |
| 4 | 0.00 |